No. 1
The following is a GGA-PBE calculation of a relaxed MgPa2ZnO8 crystal, from the Alexandria database.

abc: 5.3166 5.3166 10.6822
angles: 90.00 90.00 90.00
Space group I-4 (No. 82)
Asymmetric unit:
Mg 0.0000 0.0000 0.0000 (multiplicity 2)
Pa 0.0000 0.0000 0.5000 (multiplicity 2)
Pa 0.0000 0.5000 0.7500 (multiplicity 2)
Zn 0.0000 0.5000 0.2500 (multiplicity 2)
O 0.1814 0.7162 0.9139 (multiplicity 8)
O 0.1836 0.2266 0.3366 (multiplicity 8)



No. 2
The following is a GGA-PBE calculation of a relaxed MgPaZn2O6 crystal, from the Alexandria database.

abc: 5.3720 5.3720 14.6167
angles: 90.00 90.00 120.00
Space group R3 (No. 146, hexagonal axes)
Asymmetric unit:
Mg 0.0000 0.0000 0.0000 (multiplicity 3)
Pa 0.0000 0.0000 0.5011 (multiplicity 3)
Zn 0.0000 0.0000 0.2905 (multiplicity 3)
Zn 0.0000 0.0000 0.7861 (multiplicity 3)
O 0.0087 0.3043 0.9032 (multiplicity 9)
O 0.0278 0.6699 0.0686 (multiplicity 9)



No. 3
The following is a GGA-PBE calculation of a relaxed MgZrPaO6 crystal, from the Alexandria database.

abc: 4.9393 4.9393 9.9891
angles: 90.00 90.00 90.00
Space group P4_2nm (No. 102)
Asymmetric unit:
Mg 0.0000 0.0000 0.0000 (multiplicity 2)
Zr 0.0000 0.0000 0.6664 (multiplicity 2)
Pa 0.0000 0.0000 0.3320 (multiplicity 2)
O 0.1920 0.1920 0.8328 (multiplicity 4)
O 0.1939 0.1939 0.5035 (multiplicity 4)
O 0.1967 0.1967 0.1638 (multiplicity 4)



No. 4
The following is a GGA-PBE calculation of a relaxed Mg3PbO crystal, from the Alexandria database.

Calculated values
* E above lowest polymorph: 0 meV per atom

abc: 4.4367 4.4367 4.4367
angles: 90.00 90.00 90.00
Space group Pm-3m (No. 221)
Asymmetric unit:
Mg 0.0000 0.0000 0.5000 (multiplicity 3)
Pb 0.5000 0.5000 0.5000 (multiplicity 1)
O 0.0000 0.0000 0.0000 (multiplicity 1)



No. 5
The following is a GGA-PBE calculation of a relaxed Mg2PbO crystal, from the Alexandria database.

Calculated values
* E above lowest polymorph: 0 meV per atom

abc: 6.1939 6.1939 8.6913
angles: 90.00 90.00 90.00
Space group I-42d (No. 122)
Asymmetric unit:
Mg 0.0966 0.2500 0.1250 (multiplicity 8)
Pb 0.0000 0.0000 0.5000 (multiplicity 4)
O 0.0000 0.0000 0.0000 (multiplicity 4)



No. 6
The following is a GGA-PBE calculation of a relaxed MgPbO2 crystal, from the Alexandria database.

Calculated values
* E above lowest polymorph: 0 meV per atom

abc: 5.2350 5.2350 9.7210
angles: 90.00 90.00 90.00
Space group I-42d (No. 122)
Asymmetric unit:
Mg 0.0000 0.0000 0.0000 (multiplicity 4)
Pb 0.0000 0.0000 0.5000 (multiplicity 4)
O 0.1783 0.2500 0.1250 (multiplicity 8)



No. 7
The following is a GGA-PBE calculation of a relaxed MgPbO2 crystal, from the Alexandria database.

Calculated values
* E above lowest polymorph: 238 meV per atom

abc: 3.2021 3.2021 19.0993
angles: 90.00 90.00 120.00
Space group R-3m (No. 166, hexagonal axes)
Asymmetric unit:
Mg 0.0000 0.0000 0.0000 (multiplicity 3)
Pb 0.0000 0.0000 0.5000 (multiplicity 3)
O 0.0000 0.0000 0.3869 (multiplicity 6)



No. 8
The following is a GGA-PBE calculation of a relaxed MgPbO3 crystal, from the Alexandria database.

abc: 5.4676 5.4676 14.5718
angles: 90.00 90.00 120.00
Space group R3c (No. 161, hexagonal axes)
Asymmetric unit:
Mg 0.0000 0.0000 0.0000 (multiplicity 6)
Pb 0.0000 0.0000 0.2124 (multiplicity 6)
O 0.0216 0.3076 0.1006 (multiplicity 18)



No. 9
The following is a GGA-PBE calculation of a relaxed MgPbO2 crystal, from the Alexandria database.

Calculated values
* E above lowest polymorph: 501 meV per atom

abc: 3.7470 3.7470 19.1022
angles: 90.00 90.00 120.00
Space group R-3m (No. 166, hexagonal axes)
Asymmetric unit:
Mg 0.0000 0.0000 0.0000 (multiplicity 3)
Pb 0.0000 0.0000 0.5000 (multiplicity 3)
O 0.0000 0.0000 0.0957 (multiplicity 6)



No. 10
The following is a GGA-PBE calculation of a relaxed Mg3PbO crystal, from the Alexandria database.

Calculated values
* E above lowest polymorph: 1440 meV per atom

abc: 5.2747 5.2747 5.2747
angles: 90.00 90.00 90.00
Space group Pm-3m (No. 221)
Asymmetric unit:
Mg 0.0000 0.0000 0.5000 (multiplicity 3)
Pb 0.0000 0.0000 0.0000 (multiplicity 1)
O 0.5000 0.5000 0.5000 (multiplicity 1)



No. 11
The following is a GGA-PBE calculation of a relaxed MgPbO3 crystal, from the Alexandria database.

abc: 3.3110 15.1380 5.2663
angles: 90.00 90.00 90.00
Space group Cmc2_1 (No. 36)
Asymmetric unit:
Mg 0.0000 0.0294 0.0000 (multiplicity 4)
Pb 0.0000 0.3334 0.0259 (multiplicity 4)
O 0.0000 0.0996 0.3254 (multiplicity 4)
O 0.0000 0.2242 0.7478 (multiplicity 4)
O 0.0000 0.4509 0.2650 (multiplicity 4)



No. 12
The following is a GGA-PBE calculation of a relaxed MgPbO2 crystal, from the Alexandria database.

Calculated values
* E above lowest polymorph: 682 meV per atom

abc: 6.0279 6.0279 6.0279
angles: 90.00 90.00 90.00
Space group Fm-3m (No. 225)
Asymmetric unit:
Mg 0.0000 0.0000 0.0000 (multiplicity 4)
Pb 0.0000 0.0000 0.5000 (multiplicity 4)
O 0.2500 0.2500 0.2500 (multiplicity 8)



No. 13
The following is a GGA-PBE calculation of a relaxed MgPbO3 crystal, from the Alexandria database.

abc: 3.9605 3.9605 3.9605
angles: 90.00 90.00 90.00
Space group Pm-3m (No. 221)
Asymmetric unit:
Mg 0.0000 0.0000 0.0000 (multiplicity 1)
Pb 0.5000 0.5000 0.5000 (multiplicity 1)
O 0.0000 0.0000 0.5000 (multiplicity 3)



No. 14
The following is a GGA-PBE calculation of a relaxed MgPb2O crystal, from the Alexandria database.

Calculated values
* E above lowest polymorph: 0 meV per atom

abc: 6.1501 6.1501 12.2141
angles: 90.00 90.00 90.00
Space group I-42d (No. 122)
Asymmetric unit:
Mg 0.0000 0.0000 0.0000 (multiplicity 4)
Pb 0.1610 0.2500 0.6250 (multiplicity 8)
O 0.0000 0.0000 0.5000 (multiplicity 4)



No. 15
The following is a GGA-PBE calculation of a relaxed Mg2PbO crystal, from the Alexandria database.

Calculated values
* E above lowest polymorph: 15 meV per atom

abc: 3.3336 3.3336 21.8039
angles: 90.00 90.00 120.00
Space group R-3m (No. 166, hexagonal axes)
Asymmetric unit:
Mg 0.0000 0.0000 0.2210 (multiplicity 6)
Pb 0.0000 0.0000 0.0000 (multiplicity 3)
O 0.0000 0.0000 0.5000 (multiplicity 3)



No. 16
The following is a GGA-PBE calculation of a relaxed MgPbO3 crystal, from the Alexandria database.

abc: 4.1635 4.1635 4.1635
angles: 90.00 90.00 90.00
Space group Pm-3m (No. 221)
Asymmetric unit:
Mg 0.0000 0.0000 0.0000 (multiplicity 1)
Pb 0.5000 0.5000 0.5000 (multiplicity 1)
O 0.0000 0.5000 0.5000 (multiplicity 3)



No. 17
The following is a GGA-PBE calculation of a relaxed Mg2PbO crystal, from the Alexandria database.

Calculated values
* E above lowest polymorph: 1137 meV per atom

abc: 6.7816 6.7816 6.7816
angles: 90.00 90.00 90.00
Space group Fm-3m (No. 225)
Asymmetric unit:
Mg 0.2500 0.2500 0.2500 (multiplicity 8)
Pb 0.0000 0.0000 0.0000 (multiplicity 4)
O 0.0000 0.0000 0.5000 (multiplicity 4)



No. 18
The following is a GGA-PBE calculation of a relaxed MgPb2O crystal, from the Alexandria database.

Calculated values
* E above lowest polymorph: 288 meV per atom

abc: 7.0450 7.0450 7.0450
angles: 90.00 90.00 90.00
Space group Fm-3m (No. 225)
Asymmetric unit:
Mg 0.0000 0.0000 0.0000 (multiplicity 4)
Pb 0.2500 0.2500 0.2500 (multiplicity 8)
O 0.0000 0.0000 0.5000 (multiplicity 4)



No. 19
The following is a GGA-PBE calculation of a relaxed MgPdPbO4 crystal, from the Alexandria database.

abc: 6.1078 6.4379 9.8861
angles: 90.00 90.00 90.00
Space group Imma (No. 74)
Asymmetric unit:
Mg 0.0000 0.2500 0.1645 (multiplicity 4)
Pd 0.2500 0.2500 0.7500 (multiplicity 4)
Pb 0.0000 0.0000 0.5000 (multiplicity 4)
O 0.0000 0.0359 0.7310 (multiplicity 8)
O 0.2354 0.2500 0.4530 (multiplicity 8)



No. 20
The following is a GGA-PBE calculation of a relaxed MgPdPb2O6 crystal, from the Alexandria database.

abc: 5.5420 5.7401 9.6597
angles: 90.00 124.83 90.00
Space group P2_1/c (No. 14)
Asymmetric unit:
Mg 0.0000 0.0000 0.0000 (multiplicity 2)
Pd 0.5000 0.0000 0.5000 (multiplicity 2)
Pb 0.2351 0.0524 0.7480 (multiplicity 4)
O 0.1534 0.1937 0.4514 (multiplicity 4)
O 0.2557 0.7057 0.4460 (multiplicity 4)
O 0.3600 0.0428 0.2561 (multiplicity 4)



No. 21
The following is a GGA-PBE calculation of a relaxed Pm2MgPbO6 crystal, from the Alexandria database.

abc: 5.6077 5.8954 9.8683
angles: 90.00 123.96 90.00
Space group P2_1/c (No. 14)
Asymmetric unit:
Pm 0.2273 0.0626 0.2493 (multiplicity 4)
Mg 0.0000 0.0000 0.5000 (multiplicity 2)
Pb 0.5000 0.0000 0.0000 (multiplicity 2)
O 0.1226 0.2010 0.9343 (multiplicity 4)
O 0.2335 0.6924 0.9339 (multiplicity 4)
O 0.3711 0.0526 0.7452 (multiplicity 4)



No. 22
The following is a GGA-PBE calculation of a relaxed MgPtPb2O6 crystal, from the Alexandria database.

abc: 5.6054 5.7290 9.7332
angles: 90.00 124.97 90.00
Space group P2_1/c (No. 14)
Asymmetric unit:
Mg 0.0000 0.0000 0.0000 (multiplicity 2)
Pt 0.5000 0.0000 0.5000 (multiplicity 2)
Pb 0.2373 0.0456 0.7480 (multiplicity 4)
O 0.1653 0.1994 0.4535 (multiplicity 4)
O 0.2534 0.7141 0.4499 (multiplicity 4)
O 0.3515 0.0358 0.2574 (multiplicity 4)



No. 23
The following is a GGA-PBE calculation of a relaxed MgPtPbO4 crystal, from the Alexandria database.

abc: 6.2026 6.7553 9.4604
angles: 90.00 90.00 90.00
Space group Imma (No. 74)
Asymmetric unit:
Mg 0.0000 0.2500 0.2062 (multiplicity 4)
Pt 0.2500 0.2500 0.7500 (multiplicity 4)
Pb 0.0000 0.0000 0.5000 (multiplicity 4)
O 0.0000 0.0585 0.7392 (multiplicity 8)
O 0.2165 0.2500 0.4107 (multiplicity 8)



M_tot across the listed records, respectively: 1.87, 0.87, 0.00, 0.00, 0.00, 0.00, 0.00, 0.00, 0.00, 0.00, 0.00, 0.00, 2.00, 0.00, 0.00, 0.00, 1.85, 0.00, 0.00, 0.00, 0.00, 0.00, 0.00 μB per formula unit.
Energy relative to the elements, uncorrected across the listed records, respectively: -2.620, -2.212, -2.978, -0.946, -1.166, -1.679, -1.440, -1.611, -1.178, 0.494, -1.548, -0.997, -1.076, -0.163, -1.152, -0.789, -0.029, 0.125, -1.139, -1.086, -2.506, -1.165, -1.103 eV per atom.